A relaxed structure of Th3Hg4, computed with GGA-PBE.

The calculation puts the calculated formation energy at -0.22 eV/atom.

The space group is R-3 (No. 148, hexagonal axes) and the conventional cell measures 14.3180, 14.3180 and 6.5237 Å, with angles of 90.00, 90.00 and 120.00 degrees. The asymmetric unit holds Th at (0.0489, 0.8318, 0.2324), Hg at (0.0000, 0.0000, 0.0000), Hg at (0.0000, 0.0000, 0.5000) and Hg at (0.0575, 0.7898, 0.7116).


A relaxed structure of Th3Hg2, computed with GGA-PBE.

The calculation puts the calculated formation energy at -0.09 eV/atom.

The space group is C2/m (No. 12) and the conventional cell measures 10.063, 5.116 and 6.839 Å, with angles of 90.00, 124.82 and 90.00 degrees. The asymmetric unit holds Th at (0.000, 0.000, 0.000), Th at (0.199, 0.000, 0.632) and Hg at (0.073, 0.500, 0.770).